Material: NaGeSbI2
Method: DFT, PBE-GGA
State: optimized geometry

Unit cell a=5.609 b=5.609 c=5.873 alpha=90.00 beta=90.00 gamma=90.00
Last column: magnetic moment on the atom in μB.
Element x y z (fractional)
Na 0.000 0.000 0.000  0.01
Sb 0.000 0.000 0.500  0.31
Ge 0.500 0.500 0.500  -0.05
I 0.000 0.500 0.000  0.04
I 0.500 0.000 0.000  0.04

## Properties
- Formation energy without anion corrections: 0.502 eV per atom
- Distance to the lowest polymorph of the same formula: 571 meV per atom
- Symmetry: P4/mmm (123)
- Fermi-level density of states: 4.75 states/eV per cell
- Spin magnetization: 0.80 μB/cell